a) Material: K2TlRe
Method: DFT, PBE-GGA
State: relaxed Values from VASP.

Structure (Quantum ESPRESSO input):
```
&SYSTEM
  ibrav = 0, nat = 4, ntyp = 3
/
ATOMIC_SPECIES
K 39.10 K.upf
Tl 204.38 Tl.upf
Re 186.21 Re.upf
CELL_PARAMETERS angstrom
3.150 0.000 0.000
0.000 5.134 0.000
0.000 0.000 6.048
ATOMIC_POSITIONS crystal
K 0.000 0.000 0.000
K 0.500 0.500 0.000
Tl 0.000 0.500 0.500
Re 0.500 0.000 0.500
```

N(E_F) ... 0.22 states/eV/atom

---

b) Material: K2TlRe
Method: DFT, PBE-GGA
State: relaxed Values from VASP.

Structure (Quantum ESPRESSO input):
```
&SYSTEM
  ibrav = 0, nat = 4, ntyp = 3
/
ATOMIC_SPECIES
K 39.10 K.upf
Tl 204.38 Tl.upf
Re 186.21 Re.upf
CELL_PARAMETERS angstrom
4.891 -1.503 0.000
4.891 1.503 0.000
-0.743 0.000 9.775
ATOMIC_POSITIONS crystal
K 0.000 0.000 0.000
K 0.219 0.219 0.577
Tl 0.465 0.465 0.327
Re 0.726 0.726 0.260
```

N(E_F) ... 1.12 states/eV/atom

---

It is b) that is the most stable of them.

---

a) Material: K2TlRe
Method: DFT, PBE-GGA
State: relaxed Values from VASP.

Structure (Quantum ESPRESSO input):
```
&SYSTEM
  ibrav = 0, nat = 4, ntyp = 3
/
ATOMIC_SPECIES
K 39.10 K.upf
Tl 204.38 Tl.upf
Re 186.21 Re.upf
CELL_PARAMETERS angstrom
-2.389 2.965 5.119
2.389 -2.965 5.119
2.389 2.965 -5.119
ATOMIC_POSITIONS crystal
K 0.000 0.000 0.000
K 0.698 0.198 0.500
Tl 0.414 0.414 0.000
Re 0.295 0.795 0.500
```

N(E_F) ... 0.83 states/eV/atom

---

b) Material: K2TlRe
Method: DFT, PBE-GGA
State: relaxed Values from VASP.

Structure (Quantum ESPRESSO input):
```
&SYSTEM
  ibrav = 0, nat = 4, ntyp = 3
/
ATOMIC_SPECIES
K 39.10 K.upf
Tl 204.38 Tl.upf
Re 186.21 Re.upf
CELL_PARAMETERS angstrom
-2.760 2.760 3.921
2.760 -2.760 3.921
2.760 2.760 -3.921
ATOMIC_POSITIONS crystal
K 0.000 0.000 0.000
K 0.750 0.250 0.500
Tl 0.500 0.500 0.000
Re 0.250 0.750 0.500
```

N(E_F) ... 0.92 states/eV/atom

---

It is a) that is the most stable of them.